(1)
VASP calculation (PBE) on a geometry-optimized ZrTaGaOs2 structure.

Calculated values
Its space group is P4/mmm, No. 123. Its formation energy is 1031.2 meV per atom.

abc: 4.5389 4.6548 4.5389
angles: 90.00 90.00 90.00
Closest atoms and distances in Å follow each position.
Fractional coordinates of all 5 atoms:
1 Ga 0.0000 0.0000 0.0000  4 Os 2.27, 2 Ta 2.33
2 Os 0.0000 0.0000 0.5000  2 Ga 2.27
3 Os 0.5000 0.0000 0.0000  2 Ga 2.27
4 Ta 0.0000 0.5000 0.0000  2 Ga 2.33
5 Zr 0.5000 0.5000 0.5000  4 Ta 3.21, 8 Os 3.25

(2)
VASP calculation (PBE) on a geometry-optimized TbGa2Os structure.

Calculated values
Its space group is P4/mmm, No. 123. Its formation energy is -241.3 meV per atom.

abc: 3.2061 3.2061 6.9784
angles: 90.00 90.00 90.00
Closest atoms and distances in Å follow each position.
Fractional coordinates of all 4 atoms:
1 Os 0.5000 0.5000 0.0000  8 Ga 2.65
2 Ga 0.0000 0.0000 0.8025  4 Os 2.65, 1 Ga 2.76
3 Ga 0.0000 0.0000 0.1975  4 Os 2.65, 1 Ga 2.76
4 Tb 0.5000 0.5000 0.5000  8 Ga 3.10, 4 Tb 3.21